Computed, not measured: crystalline MnSiIr2 at its relaxed geometry at the PBE-GGA level of DFT.

Results
**Total DFT energy (no corrections)**: -8.337 eV/atom
**M_tot**: 3.55 μB per formula unit
**Formation energy (no corrections)**: -0.258 eV/atom

a = 8.182 Å, b = 8.182 Å, c = 8.182 Å
α = 20.02°, β = 20.02°, γ = 20.02°
Site moments in Bohr magnetons follow the coordinates.
Positions (direct):
Ir  0.006  0.006  0.006  0.03
Ir  0.494  0.494  0.494  0.03
Mn  0.250  0.250  0.250  3.39
Si  0.750  0.750  0.750  -0.02

***

Computed, not measured: crystalline MnSi2Ir at its relaxed geometry at the PBE-GGA level of DFT.

Results
**Total DFT energy (no corrections)**: -7.501 eV/atom
**M_tot**: 0.98 μB per formula unit
**Formation energy (no corrections)**: -0.282 eV/atom

a = 7.724 Å, b = 7.724 Å, c = 7.724 Å
α = 20.83°, β = 20.83°, γ = 20.83°
Site moments in Bohr magnetons follow the coordinates.
Positions (direct):
Ir  0.250  0.250  0.250  0.02
Mn  0.750  0.750  0.750  0.91
Si  0.005  0.005  0.005  -0.01
Si  0.495  0.495  0.495  -0.01

***

Computed, not measured: crystalline MnSi2Ir at its relaxed geometry at the PBE-GGA level of DFT.

Results
**Total DFT energy (no corrections)**: -7.673 eV/atom
**M_tot**: 0.00 μB per formula unit
**Formation energy (no corrections)**: -0.454 eV/atom

a = 4.096 Å, b = 4.096 Å, c = 4.096 Å
α = 60.00°, β = 60.00°, γ = 60.00°
Positions (direct):
Si  0.250  0.250  0.250
Si  0.750  0.750  0.750
Ir  0.500  0.500  0.500
Mn  0.000  0.000  0.000

***

Computed, not measured: crystalline MnSi2Ir at its relaxed geometry at the PBE-GGA level of DFT.

Results
**Total DFT energy (no corrections)**: -7.314 eV/atom
**M_tot**: 2.56 μB per formula unit
**Formation energy (no corrections)**: -0.095 eV/atom

a = 7.901 Å, b = 7.901 Å, c = 7.901 Å
α = 20.78°, β = 20.78°, γ = 20.78°
Site moments in Bohr magnetons follow the coordinates.
Positions (direct):
Ir  0.504  0.504  0.504  0.06
Mn  0.745  0.745  0.745  2.63
Si  0.001  0.001  0.001  -0.06
Si  0.249  0.249  0.249  -0.03

***

Computed, not measured: crystalline Mn2SiIr at its relaxed geometry at the PBE-GGA level of DFT.

Results
**Total DFT energy (no corrections)**: -8.474 eV/atom
**M_tot**: 3.00 μB per formula unit
**Formation energy (no corrections)**: -0.318 eV/atom

a = 2.978 Å, b = 4.079 Å, c = 4.105 Å
α = 90.00°, β = 90.00°, γ = 90.00°
Site moments in Bohr magnetons follow the coordinates.
Positions (direct):
Si  0.500  0.000  0.500  0.01
Ir  0.000  0.500  0.500  0.16
Mn  0.000  0.000  0.000  -0.23
Mn  0.500  0.500  0.000  2.97

***

Computed, not measured: crystalline MnSiIr2 at its relaxed geometry at the PBE-GGA level of DFT.

Results
**Total DFT energy (no corrections)**: -8.349 eV/atom
**M_tot**: 2.99 μB per formula unit
**Formation energy (no corrections)**: -0.270 eV/atom

a = 2.817 Å, b = 3.774 Å, c = 5.199 Å
α = 90.00°, β = 90.00°, γ = 90.00°
Site moments in Bohr magnetons follow the coordinates.
Positions (direct):
Ir  0.000  0.000  0.959  0.05
Ir  0.500  0.500  0.296  0.01
Mn  0.000  0.000  0.474  2.84
Si  0.500  0.500  0.772  -0.02

***

Computed, not measured: crystalline MnSi2Ir at its relaxed geometry at the PBE-GGA level of DFT.

Results
**Total DFT energy (no corrections)**: -7.120 eV/atom
**M_tot**: 3.37 μB per formula unit
**Formation energy (no corrections)**: 0.100 eV/atom

a = 6.755 Å, b = 6.755 Å, c = 5.462 Å
α = 51.80°, β = 51.80°, γ = 90.00°
Site moments in Bohr magnetons follow the coordinates.
Positions (direct):
Si  0.644  0.125  0.250  -0.04
Si  0.106  0.625  0.250  -0.04
Si  0.375  0.356  0.750  -0.03
Si  0.875  0.894  0.750  -0.04
Ir  0.000  0.000  0.000  0.08
Ir  0.750  0.250  0.500  0.09
Mn  0.500  0.500  0.000  3.23
Mn  0.250  0.750  0.500  3.23

***

Computed, not measured: crystalline MnSiIr2 at its relaxed geometry at the PBE-GGA level of DFT.

Results
**Total DFT energy (no corrections)**: -8.444 eV/atom
**M_tot**: 3.40 μB per formula unit
**Formation energy (no corrections)**: -0.366 eV/atom

a = 4.407 Å, b = 4.407 Å, c = 2.840 Å
α = 90.00°, β = 90.00°, γ = 101.21°
Site moments in Bohr magnetons follow the coordinates.
Positions (direct):
Si  0.000  0.500  0.500  -0.01
Ir  0.000  0.000  0.000  0.08
Ir  0.500  0.500  0.000  0.08
Mn  0.500  0.000  0.500  3.12

***

Computed, not measured: crystalline MnSiIr2 at its relaxed geometry at the PBE-GGA level of DFT.

Results
**Total DFT energy (no corrections)**: -8.359 eV/atom
**M_tot**: 3.28 μB per formula unit
**Formation energy (no corrections)**: -0.281 eV/atom

a = 4.410 Å, b = 4.410 Å, c = 4.809 Å
α = 78.33°, β = 78.33°, γ = 37.23°
Site moments in Bohr magnetons follow the coordinates.
Positions (direct):
Ir  0.992  0.992  0.004  0.02
Ir  0.508  0.508  0.496  0.02
Mn  0.750  0.750  0.750  3.18
Si  0.250  0.250  0.250  -0.04

***

Computed, not measured: crystalline Mn2SiIr at its relaxed geometry at the PBE-GGA level of DFT.

Results
**Total DFT energy (no corrections)**: -8.471 eV/atom
**M_tot**: 0.96 μB per formula unit
**Formation energy (no corrections)**: -0.315 eV/atom

a = 4.526 Å, b = 4.526 Å, c = 4.334 Å
α = 74.70°, β = 74.70°, γ = 37.54°
Site moments in Bohr magnetons follow the coordinates.
Positions (direct):
Si  0.499  0.499  0.458  0.04
Ir  0.239  0.239  0.309  0.18
Mn  0.011  0.011  0.930  -2.25
Mn  0.751  0.751  0.803  2.91

***

Computed, not measured: crystalline Mn2SiIr at its relaxed geometry at the PBE-GGA level of DFT.

Results
**Total DFT energy (no corrections)**: -8.401 eV/atom
**M_tot**: 1.84 μB per formula unit
**Formation energy (no corrections)**: -0.245 eV/atom

a = 4.866 Å, b = 4.866 Å, c = 4.113 Å
α = 64.98°, β = 64.98°, γ = 33.46°
Site moments in Bohr magnetons follow the coordinates.
Positions (direct):
Ir  0.250  0.250  0.250  -0.05
Mn  0.020  0.020  0.980  0.95
Mn  0.480  0.480  0.520  0.95
Si  0.750  0.750  0.750  -0.03

***

Computed, not measured: crystalline MnSiIr2 at its relaxed geometry at the PBE-GGA level of DFT.

Results
**Total DFT energy (no corrections)**: -7.659 eV/atom
**M_tot**: 0.00 μB per formula unit
**Formation energy (no corrections)**: 0.420 eV/atom

a = 5.272 Å, b = 5.272 Å, c = 6.581 Å
α = 66.39°, β = 66.39°, γ = 90.00°
Positions (direct):
Si  0.500  0.500  0.000
Si  0.250  0.750  0.500
Ir  0.635  0.125  0.250
Ir  0.115  0.625  0.250
Ir  0.375  0.365  0.750
Ir  0.875  0.885  0.750
Mn  0.000  0.000  0.000
Mn  0.750  0.250  0.500

***

Computed, not measured: crystalline Mn2SiIr at its relaxed geometry at the PBE-GGA level of DFT.

Results
**Total DFT energy (no corrections)**: -8.264 eV/atom
**M_tot**: 0.90 μB per formula unit
**Formation energy (no corrections)**: -0.108 eV/atom

a = 8.095 Å, b = 8.095 Å, c = 8.095 Å
α = 19.46°, β = 19.46°, γ = 19.46°
Site moments in Bohr magnetons follow the coordinates.
Positions (direct):
Ir  0.753  0.753  0.753  0.01
Mn  0.996  0.996  0.996  2.54
Mn  0.249  0.249  0.249  -1.74
Si  0.502  0.502  0.502  0.02

***

Computed, not measured: crystalline Mn2SiIr at its relaxed geometry at the PBE-GGA level of DFT.

Results
**Total DFT energy (no corrections)**: -8.394 eV/atom
**M_tot**: 2.96 μB per formula unit
**Formation energy (no corrections)**: -0.238 eV/atom

a = 2.656 Å, b = 2.656 Å, c = 6.937 Å
α = 90.00°, β = 90.00°, γ = 90.00°
Site moments in Bohr magnetons follow the coordinates.
Positions (direct):
Ir  0.500  0.500  0.750  -0.15
Mn  0.000  0.000  0.015  1.56
Mn  0.000  0.000  0.485  1.56
Si  0.500  0.500  0.250  -0.05

***

Computed, not measured: crystalline MnSiIr at its relaxed geometry at the PBE-GGA level of DFT.

Results
**Energy above the lowest structure with this stoichiometry**: 130.8 meV per atom
**Total DFT energy (no corrections)**: -8.221 eV/atom
**M_tot**: 3.53 μB per formula unit
**Formation energy (no corrections)**: -0.403 eV/atom

a = 4.111 Å, b = 4.111 Å, c = 2.878 Å
α = 90.00°, β = 90.00°, γ = 120.00°
Site moments in Bohr magnetons follow the coordinates.
Positions (direct):
Si  0.667  0.333  0.834  -0.05
Ir  0.000  0.000  0.833  0.09
Mn  0.333  0.667  0.333  3.38

***

Computed, not measured: crystalline MnSi2Ir at its relaxed geometry at the PBE-GGA level of DFT.

Results
**Total DFT energy (no corrections)**: -7.634 eV/atom
**M_tot**: 0.00 μB per formula unit
**Formation energy (no corrections)**: -0.415 eV/atom

a = 6.480 Å, b = 4.086 Å, c = 2.915 Å
α = 89.95°, β = 63.30°, γ = 129.06°
Positions (direct):
Ir  0.000  0.500  0.500
Mn  0.500  0.500  0.000
Si  0.000  0.000  0.000
Si  0.500  0.000  0.500

***

Computed, not measured: crystalline MnSiIr at its relaxed geometry at the PBE-GGA level of DFT.

Results
**Energy above the lowest structure with this stoichiometry**: 288.5 meV per atom
**Total DFT energy (no corrections)**: -8.063 eV/atom
**M_tot**: 3.08 μB per formula unit
**Formation energy (no corrections)**: -0.245 eV/atom

a = 4.621 Å, b = 4.621 Å, c = 4.621 Å
α = 145.17°, β = 134.65°, γ = 58.42°
Site moments in Bohr magnetons follow the coordinates.
Positions (direct):
Ir  0.008  0.008  0.000  0.22
Mn  0.328  0.328  0.000  2.81
Si  0.664  0.664  0.000  -0.05

***

Computed, not measured: crystalline MnSiIr at its relaxed geometry at the PBE-GGA level of DFT.

Results
**Energy above the lowest structure with this stoichiometry**: 185.3 meV per atom
**Total DFT energy (no corrections)**: -8.166 eV/atom
**M_tot**: 2.22 μB per formula unit
**Formation energy (no corrections)**: -0.348 eV/atom

a = 5.288 Å, b = 5.288 Å, c = 2.799 Å
α = 74.65°, β = 74.65°, γ = 30.69°
Site moments in Bohr magnetons follow the coordinates.
Positions (direct):
Ir  0.014  0.014  0.986  0.05
Mn  0.319  0.319  0.681  2.19
Si  0.667  0.667  0.333  -0.05

***

Computed, not measured: crystalline MnSiIr4 at its relaxed geometry at the PBE-GGA level of DFT.

Results
**Total DFT energy (no corrections)**: -7.877 eV/atom
**M_tot**: 4.61 μB per formula unit
**Formation energy (no corrections)**: 0.462 eV/atom

a = 5.177 Å, b = 5.177 Å, c = 5.177 Å
α = 60.00°, β = 60.00°, γ = 60.00°
Site moments in Bohr magnetons follow the coordinates.
Positions (direct):
Mn  0.750  0.750  0.750  4.06
Si  0.000  0.000  0.000  0.02
Ir  0.875  0.375  0.375  0.07
Ir  0.375  0.375  0.875  0.07
Ir  0.375  0.875  0.375  0.07
Ir  0.375  0.375  0.375  0.07

***

Computed, not measured: crystalline Mn2SiIr at its relaxed geometry at the PBE-GGA level of DFT.

Results
**Total DFT energy (no corrections)**: -8.528 eV/atom
**M_tot**: 3.00 μB per formula unit
**Formation energy (no corrections)**: -0.372 eV/atom

a = 4.125 Å, b = 4.125 Å, c = 4.125 Å
α = 60.00°, β = 60.00°, γ = 60.00°
Site moments in Bohr magnetons follow the coordinates.
Positions (direct):
Si  0.750  0.750  0.750  0.02
Ir  0.500  0.500  0.500  0.16
Mn  0.000  0.000  0.000  -0.25
Mn  0.250  0.250  0.250  2.96